(1)
The following is a PBE with a Hubbard U calculation of crystalline RbTiFeF6 at its relaxed geometry, from Alexandria via LeMat-Bulk.

Computed properties:
Density = 3.13 g/cm3
Magnetization = 3.00 μB per formula unit
DOS at the Fermi energy = 18.436 states/eV/cell
Space group = P-31c
E = -102.35 eV for the cell shown

Cell: 5.5877 5.5877 11.8855 Å, 90.00 90.00 120.00°
With the nearest neighbours (Å) after each atom.
Fractional coordinates of all 18 atoms:
Rb: 0.0000 0.0000 0.0000  6 F 2.85
Rb: 0.0000 0.0000 0.5000  6 F 2.85
Ti: 0.3333 0.6667 0.2500  6 F 1.97
Ti: 0.6667 0.3333 0.7500  6 F 1.97
Fe: 0.3333 0.6667 0.7500  6 F 2.14
Fe: 0.6667 0.3333 0.2500  6 F 2.14
F: 0.0225 0.3941 0.1577  1 Ti 1.97, 1 Fe 2.14
F: 0.0225 0.6283 0.3423  1 Ti 1.97, 1 Fe 2.14
F: 0.3717 0.3941 0.3423  1 Ti 1.97, 1 Fe 2.14
F: 0.3717 0.9775 0.1577  1 Ti 1.97, 1 Fe 2.14
F: 0.3941 0.0225 0.6577  1 Ti 1.97, 1 Fe 2.14
F: 0.3941 0.3717 0.8423  1 Ti 1.97, 1 Fe 2.14
F: 0.6059 0.6283 0.1577  1 Ti 1.97, 1 Fe 2.14
F: 0.6059 0.9775 0.3423  1 Ti 1.97, 1 Fe 2.14
F: 0.6283 0.0225 0.8423  1 Ti 1.97, 1 Fe 2.14
F: 0.6283 0.6059 0.6577  1 Ti 1.97, 1 Fe 2.14
F: 0.9775 0.3717 0.6577  1 Ti 1.97, 1 Fe 2.14
F: 0.9775 0.6059 0.8423  1 Ti 1.97, 1 Fe 2.14



(2)
The following is a PBE with a Hubbard U calculation of crystalline RbTl3Fe2F9 at its relaxed geometry, from Alexandria via LeMat-Bulk.

Computed properties:
Density = 5.88 g/cm3
Magnetization = 9.00 μB per formula unit
DOS at the Fermi energy = 5.840 states/eV/cell
Space group = P-3m1
E = -69.42 eV for the cell shown

Cell: 6.1142 6.1142 8.5651 Å, 90.00 90.00 120.00°
With the nearest neighbours (Å) after each atom.
Fractional coordinates of all 15 atoms:
Rb: 0.0000 0.0000 0.0000  6 F 2.75
Tl: 0.0000 0.0000 0.5000  12 F 2.94-3.06
Tl: 0.3333 0.6667 0.2265  9 F 2.93-3.06
Tl: 0.6667 0.3333 0.7735  9 F 2.93-3.06
Fe: 0.3333 0.6667 0.6443  6 F 1.95-2.15
Fe: 0.6667 0.3333 0.3557  6 F 1.95-2.15
F: 0.0000 0.5000 0.5000  2 Fe 2.15
F: 0.1767 0.3534 0.7650  1 Fe 1.95
F: 0.1767 0.8233 0.7650  1 Fe 1.95
F: 0.3534 0.1767 0.2350  1 Fe 1.95
F: 0.5000 0.0000 0.5000  2 Fe 2.15
F: 0.5000 0.5000 0.5000  2 Fe 2.15
F: 0.6466 0.8233 0.7650  1 Fe 1.95
F: 0.8233 0.1767 0.2350  1 Fe 1.95
F: 0.8233 0.6466 0.2350  1 Fe 1.95



(3)
The following is a PBE with a Hubbard U calculation of crystalline RbTlFeF6 at its relaxed geometry, from Alexandria via LeMat-Bulk.

Computed properties:
Density = 4.38 g/cm3
Magnetization = 4.00 μB per formula unit
Space group = P-31c
E = -81.70 eV for the cell shown

Cell: 5.8645 5.8645 11.6914 Å, 90.00 90.00 120.00°
With the nearest neighbours (Å) after each atom.
Fractional coordinates of all 18 atoms:
Rb: 0.0000 0.0000 0.0000  6 F 2.85
Rb: 0.0000 0.0000 0.5000  6 F 2.85
Tl: 0.3333 0.6667 0.2500  6 F 2.21
Tl: 0.6667 0.3333 0.7500  6 F 2.21
Fe: 0.3333 0.6667 0.7500  6 F 2.11
Fe: 0.6667 0.3333 0.2500  6 F 2.11
F: 0.0137 0.3871 0.6523  1 Fe 2.11, 1 Tl 2.21
F: 0.0137 0.6266 0.8477  1 Fe 2.11, 1 Tl 2.21
F: 0.3734 0.3871 0.8477  1 Fe 2.11, 1 Tl 2.21
F: 0.3734 0.9863 0.6523  1 Fe 2.11, 1 Tl 2.21
F: 0.3871 0.0137 0.1523  1 Fe 2.11, 1 Tl 2.21
F: 0.3871 0.3734 0.3477  1 Fe 2.11, 1 Tl 2.21
F: 0.6129 0.6266 0.6523  1 Fe 2.11, 1 Tl 2.21
F: 0.6129 0.9863 0.8477  1 Fe 2.11, 1 Tl 2.21
F: 0.6266 0.0137 0.3477  1 Fe 2.11, 1 Tl 2.21
F: 0.6266 0.6129 0.1523  1 Fe 2.11, 1 Tl 2.21
F: 0.9863 0.3734 0.1523  1 Fe 2.11, 1 Tl 2.21
F: 0.9863 0.6129 0.3477  1 Fe 2.11, 1 Tl 2.21



(4)
The following is a PBE with a Hubbard U calculation of crystalline RbTlFeF4 at its relaxed geometry, from Alexandria via LeMat-Bulk.

Computed properties:
Density = 4.60 g/cm3
Magnetization = 4.00 μB per formula unit
DOS at the Fermi energy = 0.000 states/eV/cell
Space group = P2_1/m
E = -64.56 eV for the cell shown

Cell: 6.3529 6.5638 7.9001 Å, 90.00 112.37 90.00°
With the nearest neighbours (Å) after each atom.
Fractional coordinates of all 14 atoms:
Rb: 0.1319 0.2500 0.0036  3 F 2.74-2.84
Rb: 0.8681 0.7500 0.9964  3 F 2.74-2.84
Tl: 0.2800 0.2500 0.5552  6 F 2.70-3.02
Tl: 0.7200 0.7500 0.4448  6 F 2.70-3.02
Fe: 0.2742 0.7500 0.7896  4 F 1.92-2.02
Fe: 0.7258 0.2500 0.2104  4 F 1.92-2.02
F: 0.0373 0.5276 0.7245  1 Fe 2.02
F: 0.0373 0.9724 0.7245  1 Fe 2.02
F: 0.3756 0.7500 0.0554  1 Fe 1.95
F: 0.4802 0.7500 0.6633  1 Fe 1.92
F: 0.5198 0.2500 0.3367  1 Fe 1.92
F: 0.6244 0.2500 0.9446  1 Fe 1.95
F: 0.9627 0.0276 0.2755  1 Fe 2.02
F: 0.9627 0.4724 0.2755  1 Fe 2.02